[1]
Computed, not measured: crystalline ReBiOs3 at its relaxed geometry at the PBE level of DFT.

POSCAR file:
```
ReBiOs3
1.0
-2.715 -0.258 3.909
-3.530 -1.902 -2.577
1.699 -4.363 0.892
Re Os Bi
1 3 1
Direct
0.000 0.000 0.000 Re
0.000 0.500 0.000 Os
0.000 0.000 0.500 Os
0.500 0.000 0.000 Os
0.500 0.500 0.500 Bi
```

Calculated values
VASP energy   -8.050 eV/atom
Energy of formation from the pure elements   1.954 eV/atom
SG   No. 221
V   108.3 Å³ per cell
Magnetization   0.00 μB per formula unit
Energy relative to the lowest polymorph listed for this composition   0.0 kJ/mol of atoms

[2]
Computed, not measured: crystalline BaPmPd2O5 at its relaxed geometry at the PBE level of DFT.

POSCAR file:
```
BaPmPd2O5
1.0
-4.050 -0.508 0.338
-0.068 -1.883 -3.637
1.150 -6.832 3.516
Ba Pm Pd O
1 1 2 5
Direct
0.000 0.000 0.500 Ba
0.000 0.000 0.000 Pm
0.500 0.500 0.222 Pd
0.500 0.500 0.778 Pd
0.000 0.500 0.187 O
0.500 0.000 0.187 O
0.000 0.500 0.813 O
0.500 0.000 0.813 O
0.500 0.500 0.500 O
```

Calculated values
VASP energy   -6.349 eV/atom
SG   No. 123
V   130.3 Å³ per cell
Magnetization   0.00 μB per formula unit
Raw formation energy   -15.29 eV/f.u.

[3]
Computed, not measured: crystalline YbB2Ru3 at its relaxed geometry at the PBE level of DFT.

POSCAR file:
```
YbB2Ru3
1.0
-0.936 -3.892 -3.846
4.902 0.214 2.596
-1.039 -1.838 2.113
Yb B Ru
1 2 3
Direct
0.000 0.000 0.000 Yb
0.333 0.667 0.000 B
0.667 0.333 0.000 B
0.500 0.000 0.500 Ru
0.500 0.500 0.500 Ru
0.000 0.500 0.500 Ru
```

Calculated values
VASP energy   -7.469 eV/atom
Energy of formation from the pure elements   -0.351 eV/atom
SG   No. 191
V   79.7 Å³ per cell
Magnetization   0.28 μB per formula unit

[4]
Computed, not measured: crystalline Pr6GaPb at its relaxed geometry at the PBE level of DFT.

POSCAR file:
```
Pr6GaPb
1.0
-0.160 4.964 -0.342
-4.091 0.064 2.836
5.646 0.742 8.127
Pr Ga Pb
6 1 1
Direct
0.500 0.500 0.000 Pr
0.500 0.500 0.500 Pr
0.500 0.000 0.258 Pr
0.500 0.000 0.742 Pr
0.000 0.500 0.258 Pr
0.000 0.500 0.742 Pr
0.000 0.000 0.500 Ga
0.000 0.000 0.000 Pb
```

Calculated values
VASP energy   -4.716 eV/atom
Energy of formation from the pure elements   -0.290 eV/atom
SG   No. 123
V   245.9 Å³ per cell
Magnetization   0.00 μB per formula unit

[5]
Computed, not measured: crystalline InCu2Cl at its relaxed geometry at the PBE level of DFT.

POSCAR file:
```
InCu2Cl
1.0
3.327 0.000 0.000
0.000 4.313 0.915
0.000 2.793 6.602
Cl Cu In
1 2 1
Direct
0.500 0.606 0.768 Cl
0.000 0.311 0.050 Cu
0.500 0.020 0.364 Cu
0.000 0.562 0.318 In
```

Calculated values
VASP energy   -3.290 eV/atom
SG   No. 6
V   86.2 Å³ per cell
Magnetization   0.00 μB per formula unit
Energy relative to the lowest polymorph listed for this composition   0.0 kJ/mol of atoms
Raw formation energy   -0.38 eV/f.u.

[6]
Computed, not measured: crystalline RbPPd3 at its relaxed geometry at the PBE level of DFT.

POSCAR file:
```
RbPPd3
1.0
-3.966 3.153 -0.095
-3.098 -3.923 -0.832
-0.591 -0.593 4.998
P Rb Pd
1 1 3
Direct
0.500 0.500 0.500 P
0.000 0.000 0.000 Rb
0.000 0.500 0.000 Pd
0.000 0.000 0.500 Pd
0.500 0.000 0.000 Pd
```

Calculated values
VASP energy   -2.610 eV/atom
Energy of formation from the pure elements   1.781 eV/atom
SG   No. 221
V   130.1 Å³ per cell
Magnetization   0.00 μB per formula unit
Energy relative to the lowest polymorph listed for this composition   200.2 kJ/mol of atoms

[7]
Computed, not measured: crystalline BeIr2Ru at its relaxed geometry at the PBE level of DFT.

POSCAR file:
```
BeIr2Ru
1.0
-2.143 1.408 -0.827
0.309 -2.531 -0.869
-4.387 -2.800 6.597
Ru Ir Be
1 2 1
Direct
0.500 0.500 0.250 Ru
0.000 0.000 0.972 Ir
0.000 0.000 0.528 Ir
0.500 0.500 0.750 Be
```

Calculated values
VASP energy   -7.584 eV/atom
Energy of formation from the pure elements   0.097 eV/atom
SG   No. 65
V   53.4 Å³ per cell
Magnetization   0.00 μB per formula unit

[8]
Computed, not measured: crystalline ZnAs2Pd6 at its relaxed geometry at the PBE level of DFT.

POSCAR file:
```
ZnAs2Pd6
1.0
-3.555 0.221 2.546
3.800 -5.481 2.016
1.714 4.562 1.998
Zn As Pd
1 2 6
Direct
0.000 0.000 0.500 Zn
0.659 0.318 0.494 As
0.341 0.682 0.506 As
0.884 0.768 0.808 Pd
0.782 0.563 0.198 Pd
0.218 0.437 0.802 Pd
0.551 0.102 0.804 Pd
0.449 0.898 0.196 Pd
0.116 0.232 0.192 Pd
```

Calculated values
VASP energy   -4.956 eV/atom
Energy of formation from the pure elements   -0.319 eV/atom
SG   No. 12
V   138.8 Å³ per cell
Magnetization   0.00 μB per formula unit

[9]
Computed, not measured: crystalline YHf2Mo at its relaxed geometry at the PBE level of DFT.

POSCAR file:
```
YHf2Mo
1.0
-1.469 -2.218 2.114
-1.585 -1.456 -2.630
6.091 -4.931 -0.941
Y Mo Hf
1 1 2
Direct
0.500 0.500 0.500 Y
0.500 0.500 0.000 Mo
0.000 0.000 0.807 Hf
0.000 0.000 0.193 Hf
```

Calculated values
VASP energy   -9.251 eV/atom
Energy of formation from the pure elements   0.049 eV/atom
SG   No. 123
V   91.2 Å³ per cell
Magnetization   0.00 μB per formula unit
Energy relative to the lowest polymorph listed for this composition   0.0 kJ/mol of atoms